Record 1
First-principles (meta-GGA SCAN) data for TcSb2P at its PBEsol-relaxed geometry, as listed in Alexandria via LeMat-Bulk.

## Properties
Total magnetic moment: 0.000 μB per formula unit
E_tot: -116.8 eV per formula unit
Formation energy (no corrections): 18.42 kcal/mol of atoms
Fermi-level density of states: 0.742 states/eV/atom

a = 3.3547 Å, b = 4.4160 Å, c = 5.1139 Å
α = 90.00°, β = 90.00°, γ = 90.00°
With the nearest neighbours (Å) after each atom.
Positions (direct):
Tc: 0.0000 0.0000 0.0000  4 Sb 2.77, 4 P 3.06
Sb: 0.0000 0.5000 0.5000  4 P 2.77, 4 Sb 3.06
Sb: 0.5000 0.5000 0.0000  4 Tc 2.77, 4 Sb 3.06
P: 0.5000 0.0000 0.5000  4 Sb 2.77, 4 Tc 3.06

=====

Record 2
First-principles (meta-GGA SCAN) data for TcSb2P at its PBEsol-relaxed geometry, as listed in Alexandria via LeMat-Bulk.

## Properties
Total magnetic moment: 0.000 μB per formula unit
E_tot: -117.1 eV per formula unit
Formation energy (no corrections): 16.87 kcal/mol of atoms
Fermi-level density of states: 0.645 states/eV/atom

a = 6.6585 Å, b = 6.6585 Å, c = 6.6585 Å
α = 90.00°, β = 90.00°, γ = 90.00°
With the nearest neighbours (Å) after each atom.
Positions (direct):
Tc: 0.0000 0.0000 0.0000  4 Sb 2.88, 4 P 2.88
Tc: 0.0000 0.5000 0.5000  4 P 2.88, 4 Sb 2.88
Tc: 0.5000 0.0000 0.5000  4 P 2.88, 4 Sb 2.88
Tc: 0.5000 0.5000 0.0000  4 P 2.88, 4 Sb 2.88
Sb: 0.0000 0.0000 0.5000  4 Sb 2.88, 4 P 2.88
Sb: 0.0000 0.5000 0.0000  4 Sb 2.88, 4 P 2.88
Sb: 0.2500 0.2500 0.7500  4 Tc 2.88, 4 Sb 2.88
Sb: 0.2500 0.7500 0.2500  4 Tc 2.88, 4 Sb 2.88
Sb: 0.5000 0.0000 0.0000  4 Sb 2.88, 4 P 2.88
Sb: 0.5000 0.5000 0.5000  4 Sb 2.88, 4 P 2.88
Sb: 0.7500 0.2500 0.2500  4 Tc 2.88, 4 Sb 2.88
Sb: 0.7500 0.7500 0.7500  4 Sb 2.88, 4 Tc 2.88
P: 0.2500 0.2500 0.2500  4 Tc 2.88, 4 Sb 2.88
P: 0.2500 0.7500 0.7500  4 Tc 2.88, 4 Sb 2.88
P: 0.7500 0.2500 0.7500  4 Tc 2.88, 4 Sb 2.88
P: 0.7500 0.7500 0.2500  4 Tc 2.88, 4 Sb 2.88

=====

Record 3
First-principles (meta-GGA SCAN) data for Tc2SbP at its PBEsol-relaxed geometry, as listed in Alexandria via LeMat-Bulk.

## Properties
Total magnetic moment: 0.000 μB per formula unit
E_tot: -116.2 eV per formula unit
Formation energy (no corrections): 8.96 kcal/mol of atoms
Fermi-level density of states: 1.088 states/eV/atom

a = 5.6618 Å, b = 5.6618 Å, c = 10.4964 Å
α = 90.00°, β = 90.00°, γ = 90.00°
With the nearest neighbours (Å) after each atom.
Positions (direct):
Tc: 0.1999 0.2500 0.1250  2 P 2.24
Tc: 0.2500 0.6999 0.3750  2 P 2.24
Tc: 0.2500 0.8001 0.8750  2 P 2.24
Tc: 0.3001 0.2500 0.6250  2 P 2.24
Tc: 0.6999 0.7500 0.6250  2 P 2.24
Tc: 0.7500 0.1999 0.8750  2 P 2.24
Tc: 0.7500 0.3001 0.3750  2 P 2.24
Tc: 0.8001 0.7500 0.1250  2 P 2.24
Sb: 0.0000 0.0000 0.5000  4 Tc 2.57
Sb: 0.0000 0.5000 0.7500  4 Tc 2.57
Sb: 0.5000 0.0000 0.2500  4 Tc 2.57
Sb: 0.5000 0.5000 0.0000  4 Tc 2.57
P: 0.0000 0.0000 0.0000  4 Tc 2.24
P: 0.0000 0.5000 0.2500  4 Tc 2.24
P: 0.5000 0.0000 0.7500  4 Tc 2.24
P: 0.5000 0.5000 0.5000  4 Tc 2.24